VASP calculation (PBE) on MnRh2W after structural relaxation.

Output
calculated volume: 16.11 Å³/atom
E_form: 400 meV per atom
E above lowest polymorph: 568 meV/atom

Cell: 5.5789 5.5789 5.5789 Å, 103.63 103.63 121.92°
With the nearest neighbours (Å) after each atom.
Positions (direct):
Mn1 0.0000 0.0000 0.0000  4 Rh 2.61, 2 W 2.71
Mn2 0.7500 0.2500 0.5000  4 Rh 2.61, 2 W 2.71
Rh1 0.1419 0.1250 0.5169  2 W 2.45, 2 Mn 2.61, 2 Rh 2.72
Rh2 0.3750 0.8581 0.9831  2 W 2.45, 2 Mn 2.61, 2 Rh 2.72
Rh3 0.6081 0.6250 0.4831  2 W 2.45, 2 Mn 2.61, 2 Rh 2.72
Rh4 0.8750 0.3919 0.0169  2 W 2.45, 2 Mn 2.61, 2 Rh 2.72
W1 0.2500 0.7500 0.5000  4 Rh 2.45, 2 Mn 2.71
W2 0.5000 0.5000 0.0000  4 Rh 2.45, 2 Mn 2.71